Below is an optimized crystal structure of TmNiBi, with properties calculated at the PBE level.

It has space group F-43m (No. 216), with a = 6.409 Å, b = 6.409 Å, c = 6.409 Å, α = 90.00°, β = 90.00° and γ = 90.00°. The asymmetric unit holds Tm at (0.000, 0.000, 0.000), Ni at (0.250, 0.250, 0.250) and Bi at (0.000, 0.000, 0.500).

Its total DFT energy (no corrections) is -64.462 eV for the cell shown. The calculation puts the spin magnetization at 0.001 Bohr magnetons per cell.